VASP calculation (PBE) on a relaxed CaMn2Cr crystal.

Results
Formation energy = 0.38 eV/atom
ΔE to the lowest computed polymorph = 0.00 eV per formula unit

Cell: 4.1805 4.1805 5.7748 Å, 68.65 68.65 60.07°
Last column: nearest neighbours and their distance in Å.
Positions (direct):
Mn (0.9536, 0.9536, 0.1397)  3 Cr 2.48, 3 Mn 2.67-2.68
Cr (0.2500, 0.2500, 0.2500)  6 Mn 2.48
Ca (0.7500, 0.7500, 0.7500)  8 Mn 3.16-3.20
Mn (0.5464, 0.5464, 0.3603)  3 Cr 2.48, 3 Mn 2.67-2.68